1.
6
Lattice="0.000 4.678 4.678 4.678 0.000 4.678 4.678 4.678 0.000" Properties=species:S:1:pos:R:3 comment="PBE-GGA Ag2C, relaxed" space_group="Fd-3m (227)" final_energy_ha_per_atom=-0.120 pbc="T T T"
Ag 0.000 0.000 0.000
Ag 2.339 2.339 0.000
Ag 2.339 0.000 2.339
Ag 0.000 2.339 2.339
C 1.170 1.170 1.170
C 8.187 8.187 8.187


2.
12
Lattice="1.849 -7.630 0.000 1.849 7.630 0.000 0.000 0.000 10.288" Properties=species:S:1:pos:R:3 comment="PBE-GGA InAgSnS3, relaxed" space_group="Cmcm (63)" final_energy_ha_per_atom=-0.145 pbc="T T T"
In 1.849 4.980 7.716
In 1.849 -4.980 2.572
Ag 1.849 4.848 2.572
Ag 1.849 -4.848 7.716
Sn 1.849 0.000 0.000
Sn 1.849 0.000 5.144
S 1.849 5.859 0.291
S 1.849 5.859 4.853
S 1.849 0.716 2.572
S 1.849 -0.716 7.716
S 1.849 -5.859 5.435
S 1.849 -5.859 9.997


Q: What is the formula in the second record?
A: InAgSnS3